! TlVF3, optimized geometry, DFT GGA+U; values from VASP
! - Space group: R-3c, No. 167
! - Crystal system: trigonal
! - Final energy: -5.099 eV/atom
&SYSTEM
  ibrav = 0, nat = 10, ntyp = 3
/
ATOMIC_SPECIES
Tl 204.38 Tl.upf
V 50.94 V.upf
F 19.00 F.upf
ATOMIC_POSITIONS crystal
Tl 0.000 0.000 0.000
Tl 0.500 0.500 0.500
V 0.250 0.250 0.250
V 0.750 0.750 0.750
F 0.022 0.750 0.478
F 0.250 0.522 0.978
F 0.478 0.022 0.750
F 0.522 0.978 0.250
F 0.750 0.478 0.022
F 0.978 0.250 0.522
CELL_PARAMETERS angstrom
3.524 2.035 4.622
-3.524 2.035 4.622
0.000 -4.070 4.622